--- A ---
The following is a DFT calculation (PBE-GGA) of a geometry-optimized MgNiSe2N structure.

```
5
Lattice="5.051 0.000 0.000 0.000 5.051 0.000 0.000 0.000 3.416" Properties=species:S:1:pos:R:3 pbc="T T T"
Mg 0.000 0.000 0.000
Ni 2.525 2.525 1.708
Se 0.000 2.525 1.708
Se 2.525 0.000 1.708
N 2.525 2.525 0.000
```

Results
DOS(E_F): 1.60 states/eV/cell
Total magnetization: 0.0 μB/f.u.
Crystal system: tetragonal

--- B ---
The following is a DFT calculation (PBE-GGA) of a geometry-optimized MgNiSe2N structure.

```
5
Lattice="5.070 0.000 0.000 0.000 5.070 0.000 0.000 0.000 3.873" Properties=species:S:1:pos:R:3 pbc="T T T"
Mg 0.000 0.000 0.000
Ni 2.535 2.535 1.936
Se 0.000 2.535 0.000
Se 2.535 0.000 0.000
N 0.000 0.000 1.936
```

Results
DOS(E_F): 7.06 states/eV/cell
Total magnetization: 3.0 μB/f.u.
Crystal system: tetragonal

Relative energies in meV per atom: A 0; B 880

--- A ---
The following is a DFT calculation (PBE-GGA) of a geometry-optimized MgNiTeN2 structure.

```
5
Lattice="3.868 0.000 0.000 0.000 3.868 0.000 0.000 0.000 5.875" Properties=species:S:1:pos:R:3 pbc="T T T"
Mg 0.000 0.000 0.000
Ni 1.934 1.934 2.938
Te 0.000 0.000 2.938
N 0.000 1.934 0.000
N 1.934 0.000 0.000
```

Results
DOS(E_F): 7.76 states/eV/cell
Total magnetization: 0.6 μB/f.u.
Crystal system: tetragonal

--- B ---
The following is a DFT calculation (PBE-GGA) of a geometry-optimized MgNiTeN2 structure.

```
5
Lattice="3.874 0.000 0.000 0.000 3.874 0.000 0.000 0.000 5.403" Properties=species:S:1:pos:R:3 pbc="T T T"
Mg 0.000 0.000 0.000
Ni 1.937 1.937 2.702
Te 1.937 1.937 0.000
N 0.000 1.937 2.702
N 1.937 0.000 2.702
```

Results
DOS(E_F): 3.11 states/eV/cell
Total magnetization: 2.9 μB/f.u.
Crystal system: tetragonal

Relative energies in meV per atom: A 596; B 0

--- A ---
The following is a DFT calculation (PBE-GGA) of a geometry-optimized MgNiTe2N structure.

```
5
Lattice="5.461 0.000 0.000 0.000 5.461 0.000 0.000 0.000 3.450" Properties=species:S:1:pos:R:3 pbc="T T T"
Mg 0.000 0.000 0.000
Ni 2.730 2.730 1.725
Te 0.000 2.730 1.725
Te 2.730 0.000 1.725
N 2.730 2.730 0.000
```

Results
DOS(E_F): 2.86 states/eV/cell
Total magnetization: 0.0 μB/f.u.
Crystal system: tetragonal

--- B ---
The following is a DFT calculation (PBE-GGA) of a geometry-optimized MgNiTe2N structure.

```
5
Lattice="5.502 0.000 0.000 0.000 5.502 0.000 0.000 0.000 3.784" Properties=species:S:1:pos:R:3 pbc="T T T"
Mg 0.000 0.000 0.000
Ni 2.751 2.751 1.892
Te 0.000 2.751 0.000
Te 2.751 0.000 0.000
N 0.000 0.000 1.892
```

Results
DOS(E_F): 4.65 states/eV/cell
Total magnetization: 1.8 μB/f.u.
Crystal system: tetragonal

Relative energies in meV per atom: A 0; B 796

--- A ---
The following is a DFT calculation (PBE-GGA) of a geometry-optimized MgN2O2 structure.

```
5
Lattice="3.815 0.000 0.000 0.000 3.815 0.000 0.000 0.000 4.673" Properties=species:S:1:pos:R:3 pbc="T T T"
Mg 0.000 0.000 0.000
N 0.000 0.000 2.337
N 1.907 1.907 2.337
O 0.000 1.907 0.000
O 1.907 0.000 0.000
```

Results
DOS(E_F): 6.58 states/eV/cell
Total magnetization: 1.5 μB/f.u.
Crystal system: tetragonal

--- B ---
The following is a DFT calculation (PBE-GGA) of a geometry-optimized MgN2O2 structure.

```
5
Lattice="4.433 0.000 0.000 0.000 4.433 0.000 0.000 0.000 3.902" Properties=species:S:1:pos:R:3 pbc="T T T"
Mg 0.000 0.000 0.000
N 0.000 2.217 0.000
N 2.217 0.000 0.000
O 0.000 0.000 1.951
O 2.217 2.217 1.951
```

Results
DOS(E_F): 2.00 states/eV/cell
Total magnetization: 8.0 μB/f.u.
Crystal system: tetragonal

Relative energies in meV per atom: A 0; B 76

--- A ---
The following is a DFT calculation (PBE-GGA) of a geometry-optimized Mg2NO structure.

```
8
Lattice="-2.513 2.513 4.081 2.513 -2.513 4.081 2.513 2.513 -4.081" Properties=species:S:1:pos:R:3 pbc="T T T"
Mg 3.770 1.159 -1.020
Mg 1.159 1.257 1.020
Mg -1.257 1.355 3.061
Mg 1.355 1.257 5.102
N 2.513 0.000 2.041
N 0.000 0.000 4.081
O 0.000 0.000 0.000
O 0.000 2.513 2.041
```

Results
DOS(E_F): 1.51 states/eV/cell
Total magnetization: 1.0 μB/f.u.
Crystal system: tetragonal

--- B ---
The following is a DFT calculation (PBE-GGA) of a geometry-optimized Mg2NO structure.

```
4
Lattice="0.000 2.705 2.705 2.705 0.000 2.705 2.705 2.705 0.000" Properties=species:S:1:pos:R:3 pbc="T T T"
Mg 1.353 1.353 1.353
Mg 4.058 4.058 4.058
N 0.000 0.000 0.000
O 2.705 2.705 2.705
```

Results
DOS(E_F): 1.81 states/eV/cell
Total magnetization: 1.0 μB/f.u.
Crystal system: cubic

Relative energies in meV per atom: A 0; B 463

--- A ---
The following is a DFT calculation (PBE-GGA) of a geometry-optimized MgS2NO structure.

```
5
Lattice="4.127 0.000 0.000 0.000 4.127 0.000 0.000 0.000 3.931" Properties=species:S:1:pos:R:3 pbc="T T T"
Mg 0.000 0.000 0.000
S 0.000 2.063 1.966
S 2.063 0.000 1.966
N 2.063 2.063 0.000
O 2.063 2.063 1.966
```

Results
DOS(E_F): 2.44 states/eV/cell
Total magnetization: 0.4 μB/f.u.
Crystal system: tetragonal

--- B ---
The following is a DFT calculation (PBE-GGA) of a geometry-optimized MgS2NO structure.

```
5
Lattice="4.829 0.000 0.000 0.000 4.829 0.000 0.000 0.000 4.067" Properties=species:S:1:pos:R:3 pbc="T T T"
Mg 0.000 0.000 0.000
S 0.000 2.414 0.000
S 2.414 0.000 0.000
N 0.000 0.000 2.034
O 2.414 2.414 2.034
```

Results
DOS(E_F): 7.00 states/eV/cell
Total magnetization: 3.4 μB/f.u.
Crystal system: tetragonal

Relative energies in meV per atom: A 0; B 552

--- A ---
The following is a DFT calculation (PBE-GGA) of a geometry-optimized MgOs3N structure.

```
5
Lattice="4.075 0.000 0.000 0.000 4.075 0.000 0.000 0.000 4.075" Properties=species:S:1:pos:R:3 pbc="T T T"
Mg 0.000 0.000 0.000
Os 0.000 2.037 2.037
Os 2.037 0.000 2.037
Os 2.037 2.037 0.000
N 2.037 2.037 2.037
```

Results
DOS(E_F): 5.13 states/eV/cell
Total magnetization: 0.0 μB/f.u.
Crystal system: cubic

--- B ---
The following is a DFT calculation (PBE-GGA) of a geometry-optimized MgOs3N structure.

```
5
Lattice="4.451 0.000 0.000 0.000 4.451 0.000 0.000 0.000 4.451" Properties=species:S:1:pos:R:3 pbc="T T T"
Mg 0.000 0.000 0.000
Os 0.000 0.000 2.226
Os 0.000 2.226 0.000
Os 2.226 0.000 0.000
N 2.226 2.226 2.226
```

Results
DOS(E_F): 8.42 states/eV/cell
Total magnetization: 0.0 μB/f.u.
Crystal system: cubic

Relative energies in meV per atom: A 0; B 3264

--- A ---
The following is a DFT calculation (PBE-GGA) of a geometry-optimized MgOsSN2 structure.

```
5
Lattice="3.781 0.000 0.000 0.000 3.781 0.000 0.000 0.000 5.213" Properties=species:S:1:pos:R:3 pbc="T T T"
Mg 0.000 0.000 0.000
Os 1.891 1.891 2.607
S 1.891 1.891 0.000
N 0.000 1.891 2.607
N 1.891 0.000 2.607
```

Results
DOS(E_F): 1.81 states/eV/cell
Total magnetization: 0.0 μB/f.u.
Crystal system: tetragonal

--- B ---
The following is a DFT calculation (PBE-GGA) of a geometry-optimized MgOsSN2 structure.

```
5
Lattice="3.857 0.000 0.000 0.000 3.857 0.000 0.000 0.000 4.765" Properties=species:S:1:pos:R:3 pbc="T T T"
Mg 0.000 0.000 0.000
Os 1.928 1.928 2.382
S 0.000 0.000 2.382
N 0.000 1.928 0.000
N 1.928 0.000 0.000
```

Results
DOS(E_F): 4.73 states/eV/cell
Total magnetization: 0.1 μB/f.u.
Crystal system: tetragonal

Relative energies in meV per atom: A 0; B 1803

--- A ---
The following is a DFT calculation (PBE-GGA) of a geometry-optimized MgTe2OsN structure.

```
5
Lattice="5.362 0.000 0.000 0.000 5.362 0.000 0.000 0.000 3.725" Properties=species:S:1:pos:R:3 pbc="T T T"
Mg 0.000 0.000 0.000
Te 0.000 2.681 0.000
Te 2.681 0.000 0.000
Os 2.681 2.681 1.862
N 0.000 0.000 1.862
```

Results
DOS(E_F): 4.21 states/eV/cell
Total magnetization: 3.3 μB/f.u.
Crystal system: tetragonal

--- B ---
The following is a DFT calculation (PBE-GGA) of a geometry-optimized MgTe2OsN structure.

```
5
Lattice="5.550 0.000 0.000 0.000 5.550 0.000 0.000 0.000 3.678" Properties=species:S:1:pos:R:3 pbc="T T T"
Mg 0.000 0.000 0.000
Te 0.000 2.775 1.839
Te 2.775 0.000 1.839
Os 2.775 2.775 1.839
N 2.775 2.775 0.000
```

Results
DOS(E_F): 1.85 states/eV/cell
Total magnetization: 0.0 μB/f.u.
Crystal system: tetragonal

Relative energies in meV per atom: A 1304; B 0

--- A ---
The following is a DFT calculation (PBE-GGA) of a geometry-optimized MgP2N structure.

```
4
Lattice="0.000 3.040 3.040 3.040 0.000 3.040 3.040 3.040 0.000" Properties=species:S:1:pos:R:3 pbc="T T T"
Mg 0.000 0.000 0.000
P 1.520 1.520 1.520
P 4.561 4.561 4.561
N 3.040 3.040 3.040
```

Results
DOS(E_F): 2.68 states/eV/cell
Total magnetization: 0.0 μB/f.u.
Crystal system: cubic

--- B ---
The following is a DFT calculation (PBE-GGA) of a geometry-optimized MgP2N structure.

```
8
Lattice="-2.854 2.854 3.665 2.854 -2.854 3.665 2.854 2.854 -3.665" Properties=species:S:1:pos:R:3 pbc="T T T"
Mg 0.000 0.000 0.000
Mg 0.000 2.854 1.832
P 1.427 -0.848 2.749
P 2.006 1.427 0.916
P 1.427 3.702 -0.916
P 0.848 1.427 4.581
N 2.854 0.000 1.832
N 0.000 0.000 3.665
```

Results
DOS(E_F): 3.75 states/eV/cell
Total magnetization: 0.0 μB/f.u.
Crystal system: tetragonal

Relative energies in meV per atom: A 921; B 0

--- A ---
The following is a DFT calculation (PBE-GGA) of a geometry-optimized Mg2PN structure.

```
8
Lattice="-3.219 3.219 2.877 3.219 -3.219 2.877 3.219 3.219 -2.877" Properties=species:S:1:pos:R:3 pbc="T T T"
Mg 4.829 1.065 -0.719
Mg 1.065 1.610 0.719
Mg -1.610 2.154 2.158
Mg 2.154 1.610 3.596
P 3.219 0.000 1.438
P 0.000 0.000 2.877
N 0.000 0.000 0.000
N 0.000 3.219 1.438
```

Results
DOS(E_F): 2.07 states/eV/cell
Total magnetization: 0.0 μB/f.u.
Crystal system: tetragonal

--- B ---
The following is a DFT calculation (PBE-GGA) of a geometry-optimized Mg2PN structure.

```
4
Lattice="0.000 3.047 3.047 3.047 0.000 3.047 3.047 3.047 0.000" Properties=species:S:1:pos:R:3 pbc="T T T"
Mg 1.524 1.524 1.524
Mg 4.571 4.571 4.571
P 0.000 0.000 0.000
N 3.047 3.047 3.047
```

Results
DOS(E_F): 2.57 states/eV/cell
Total magnetization: 0.0 μB/f.u.
Crystal system: cubic

Relative energies in meV per atom: A 0; B 390

--- A ---
The following is a DFT calculation (PBE-GGA) of a geometry-optimized MgPN structure.

```
6
Lattice="4.755 -2.731 0.000 4.755 2.731 0.000 -0.692 0.000 3.242" Properties=species:S:1:pos:R:3 pbc="T T T"
Mg 1.959 0.000 0.939
Mg 6.858 0.000 2.303
P 4.409 1.471 1.621
P 4.755 -0.052 0.000
N 2.682 -0.796 2.819
N 6.135 -0.796 0.423
```

Results
DOS(E_F): 0.00 states/eV/cell
Total magnetization: 0.0 μB/f.u.
Crystal system: monoclinic

--- B ---
The following is a DFT calculation (PBE-GGA) of a geometry-optimized MgPN structure.

```
6
Lattice="3.180 0.000 0.000 0.000 4.536 2.743 0.000 -4.536 2.743" Properties=species:S:1:pos:R:3 pbc="T T T"
Mg 0.000 -2.577 2.743
Mg 0.000 2.577 2.743
P 0.000 0.000 1.789
P 1.590 0.000 3.308
N 1.590 -1.438 4.080
N 1.590 1.438 4.080
```

Results
DOS(E_F): 0.00 states/eV/cell
Total magnetization: 0.0 μB/f.u.
Crystal system: orthorhombic

--- C ---
The following is a DFT calculation (PBE-GGA) of a geometry-optimized MgPN structure.

```
6
Lattice="-1.684 4.875 2.614 1.684 -4.875 2.614 1.684 4.875 -2.614" Properties=species:S:1:pos:R:3 pbc="T T T"
Mg 0.000 1.881 0.000
Mg 0.000 7.868 0.000
P 0.000 0.000 1.804
P 0.000 4.875 0.638
N 0.000 3.451 1.443
N 0.000 6.298 1.443
```

Results
DOS(E_F): 0.00 states/eV/cell
Total magnetization: 0.0 μB/f.u.
Crystal system: orthorhombic

Relative energies in meV per atom: A 68; B 30; C 0

--- A ---
The following is a DFT calculation (PBE-GGA) of a geometry-optimized MgP2SN structure.

```
5
Lattice="4.060 0.000 0.000 0.000 4.060 0.000 0.000 0.000 4.402" Properties=species:S:1:pos:R:3 pbc="T T T"
Mg 0.000 0.000 0.000
P 0.000 2.030 2.201
P 2.030 0.000 2.201
S 2.030 2.030 0.000
N 2.030 2.030 2.201
```

Results
DOS(E_F): 4.80 states/eV/cell
Total magnetization: 0.0 μB/f.u.
Crystal system: tetragonal

--- B ---
The following is a DFT calculation (PBE-GGA) of a geometry-optimized MgP2SN structure.

```
5
Lattice="4.894 0.000 0.000 0.000 4.894 0.000 0.000 0.000 4.733" Properties=species:S:1:pos:R:3 pbc="T T T"
Mg 0.000 0.000 0.000
P 0.000 2.447 0.000
P 2.447 0.000 0.000
S 0.000 0.000 2.367
N 2.447 2.447 2.367
```

Results
DOS(E_F): 3.58 states/eV/cell
Total magnetization: 2.1 μB/f.u.
Crystal system: tetragonal

Relative energies in meV per atom: A 0; B 1124